# CsTl3Zn

Crystalline CsTl3Zn at its relaxed geometry (GGA-PBE, Alexandria).

abc: 8.704 4.605 9.655
angles: 90.00 110.82 90.00
Element x y z (fractional)
Cs 0.232 0.250 0.446
Cs 0.768 0.750 0.554
Tl 0.061 0.250 0.914
Tl 0.245 0.750 0.785
Tl 0.360 0.750 0.180
Tl 0.640 0.250 0.820
Tl 0.755 0.250 0.215
Tl 0.939 0.750 0.086
Zn 0.420 0.250 0.007
Zn 0.580 0.750 0.993

* symmetry: P2_1/m
* ΔE to the lowest computed polymorph: 0 meV/atom
* magnetic moment: 0.00 μB per formula unit
* VASP energy: -1.89 eV/atom
* calculated formation energy: -0.0486 eV/atom
* density: 7.45 g/cm³

# Cu2SbMo

Crystalline Cu2SbMo at its relaxed geometry (GGA-PBE, Alexandria).

abc: 4.459 4.459 4.459
angles: 60.00 60.00 60.00
Element x y z (fractional)
Cu 0.000 0.000 0.000
Cu 0.250 0.250 0.250
Sb 0.750 0.750 0.750
Mo 0.500 0.500 0.500

* symmetry: F-43m
* formation energy from raw total energies: 0.373 eV per atom
* magnetic moment: 0.00 μB per formula unit
* VASP energy: -5.41 eV/atom
* density: 9.13 g/cm³

# Nd2Sm6Tm

Crystalline Nd2Sm6Tm at its relaxed geometry (GGA-PBE, Alexandria).

abc: 9.755 9.755 6.702
angles: 99.97 99.97 96.85
Element x y z (fractional)
Nd 0.122 0.170 0.373
Nd 0.170 0.122 0.873
Nd 0.830 0.878 0.127
Nd 0.878 0.830 0.627
Sm 0.038 0.442 0.724
Sm 0.150 0.778 0.994
Sm 0.222 0.850 0.506
Sm 0.277 0.463 0.183
Sm 0.442 0.038 0.224
Sm 0.463 0.277 0.683
Sm 0.537 0.723 0.317
Sm 0.558 0.962 0.776
Sm 0.723 0.537 0.817
Sm 0.778 0.150 0.494
Sm 0.850 0.222 0.006
Sm 0.962 0.558 0.276
Tm 0.383 0.617 0.750
Tm 0.617 0.383 0.250

* symmetry: C2/c
* ΔE to the lowest computed polymorph: 67 meV/atom
* magnetic moment: 0.00 μB per formula unit
* VASP energy: -4.59 eV/atom
* calculated formation energy: 0.1147 eV/atom
* density: 7.39 g/cm³

# HfBN

Crystalline HfBN at its relaxed geometry (GGA-PBE, Alexandria).

abc: 4.125 4.125 5.729
angles: 110.30 110.30 45.45
Element x y z (fractional)
Hf 0.000 0.000 0.000
Hf 0.601 0.601 0.591
B 0.268 0.268 0.410
B 0.777 0.777 0.272
N 0.341 0.341 0.696
N 0.699 0.699 0.992

* symmetry: Cm
* formation energy from raw total energies: -0.942 eV per atom
* ΔE to the lowest computed polymorph: 126 meV/atom
* magnetic moment: 0.00 μB per formula unit
* VASP energy: -9.26 eV/atom
* density: 10.49 g/cm³